(1)
## Fe2ReAu (PBE-GGA)

Data for crystalline Fe2ReAu at its relaxed geometry.

```
Fe2ReAu
1.0
1.5855 -2.1395 0.0000
1.5855 2.1395 0.0000
0.0000 0.0000 8.4936
Fe Re Au
2 1 1
direct
0.0000 0.0000 0.2392
0.0000 0.0000 0.7608
0.5000 0.5000 0.0000
0.5000 0.5000 0.5000
```

Summary:
Magnetization, μB/cell: 5.32
Energy above the most stable polymorph in this dataset, meV per atom: 30
Formation enthalpy at 0 K, kJ/mol of atoms: 20.8
Symmetry: Cmmm, No. 65


(2)
## Fe2ReAu (PBE-GGA)

Data for crystalline Fe2ReAu at its relaxed geometry.

```
Fe2ReAu
1.0
2.7152 0.0000 0.0000
0.0000 3.6607 0.0000
0.0000 0.0000 5.6685
Fe Re Au
2 1 1
direct
0.0000 0.0000 0.0000
0.5000 0.5000 0.2212
0.0000 0.0000 0.4250
0.5000 0.5000 0.7326
```

Summary:
Magnetization, μB/cell: 3.98
Energy above the most stable polymorph in this dataset, meV per atom: 84
Formation enthalpy at 0 K, kJ/mol of atoms: 26.0
Symmetry: Pmm2, No. 25


(3)
## Fe2ReAu (PBE-GGA)

Data for crystalline Fe2ReAu at its relaxed geometry.

```
Fe2ReAu
1.0
-3.3244 3.3244 2.7042
3.3244 -3.3244 2.7042
3.3244 3.3244 -2.7042
Fe Re Au
4 2 2
direct
0.0864 0.6250 0.9614
0.3750 0.3364 0.4614
0.6636 0.1250 0.0386
0.8750 0.9136 0.5386
0.0000 0.0000 0.0000
0.7500 0.2500 0.5000
0.2500 0.7500 0.5000
0.5000 0.5000 0.0000
```

Summary:
Magnetization, μB/cell: 0.00
Energy above the most stable polymorph in this dataset, meV per atom: 584
Formation enthalpy at 0 K, kJ/mol of atoms: 74.2
Symmetry: I-42d, No. 122


The lowest magnetization belongs to which entry?
number 3